Density functional theory data (PBE) for a relaxed K3BiCl7 crystal.

Properties
Total magnetization in μB per formula unit: 0.927
Formation energy from raw total energies in meV/atom: -1382
Volume in Å³/cell: 360.7
Electronic total energy in eV/atom: -3.209

a b c (Å): 7.6906 7.6906 8.0984
angles (deg): 61.38 61.38 86.23
Last column: nearest neighbours and their distance in Å.
Fractional coordinates of all 11 atoms:
K  0.7798  0.2301  0.4847  7 Cl 3.14-3.30
K  0.5109  0.5109  0.9182  5 Cl 3.14-3.28
K  0.2301  0.7798  0.4847  7 Cl 3.14-3.30
Bi  0.9460  0.9460  0.0486  7 Cl 2.74-2.88
Cl  0.1390  0.1390  0.1449  1 Bi 2.74
Cl  0.6313  0.1433  0.2127  1 Bi 2.88, 2 Cl 3.09-3.19, 1 K 3.14
Cl  0.9610  0.3319  0.7253  1 Bi 2.83, 1 Cl 3.09
Cl  0.1433  0.6313  0.2127  1 Bi 2.88, 2 Cl 3.09-3.19, 1 K 3.14
Cl  0.6318  0.6318  0.4419  1 Bi 2.80
Cl  0.3319  0.9610  0.7253  1 Bi 2.83, 1 Cl 3.09
Cl  0.8198  0.8198  0.8509  1 Bi 2.75

Density functional theory data (PBE) for a relaxed K12Bi3Cl5 crystal.

Properties
Total magnetization in μB per formula unit: 2.186
Formation energy from raw total energies in meV/atom: -1063
Volume in Å³/cell: 3715.5
Electronic total energy in eV/atom: -2.765

a b c (Å): 16.8998 16.8998 16.8998
angles (deg): 109.47 109.47 109.47
Last column: nearest neighbours and their distance in Å.
Fractional coordinates of all 80 atoms:
Bi  0.7500  0.3750  0.1250  8 K 3.66-3.72
Bi  0.8750  0.7500  0.1250  8 K 3.66-3.72
Bi  0.3750  0.7500  0.6250  8 K 3.66-3.72
Bi  0.2500  0.1250  0.3750  8 K 3.66-3.72
Bi  0.8750  0.1250  0.2500  8 K 3.66-3.72
Bi  0.3750  0.6250  0.2500  8 K 3.66-3.72
Bi  0.6250  0.3750  0.7500  8 K 3.66-3.72
Bi  0.1250  0.8750  0.7500  8 K 3.66-3.72
Bi  0.7500  0.8750  0.6250  8 K 3.66-3.72
Bi  0.6250  0.2500  0.3750  8 K 3.66-3.72
Bi  0.1250  0.2500  0.8750  8 K 3.66-3.72
Bi  0.2500  0.6250  0.8750  8 K 3.66-3.72
Cl  0.1250  0.3750  0.2500  4 K 3.02
Cl  0.0000  0.5000  0.0000  6 K 3.25
Cl  0.0000  0.0000  0.0000  6 K 3.25
Cl  0.3750  0.2500  0.1250  4 K 3.02
Cl  0.5000  0.0000  0.5000  6 K 3.25
Cl  0.5000  0.5000  0.0000  6 K 3.25
Cl  0.1250  0.7500  0.3750  4 K 3.02
Cl  0.7500  0.1250  0.8750  4 K 3.02
Cl  0.7500  0.6250  0.3750  4 K 3.02
Cl  0.3750  0.1250  0.7500  4 K 3.02
Cl  0.6250  0.8750  0.2500  4 K 3.02
Cl  0.5000  0.5000  0.5000  6 K 3.25
Cl  0.5000  0.0000  0.0000  6 K 3.25
Cl  0.0000  0.0000  0.5000  6 K 3.25
Cl  0.2500  0.3750  0.6250  4 K 3.02
Cl  0.2500  0.8750  0.1250  4 K 3.02
Cl  0.0000  0.5000  0.5000  6 K 3.25
Cl  0.8750  0.2500  0.6250  4 K 3.02
Cl  0.6250  0.7500  0.8750  4 K 3.02
Cl  0.8750  0.6250  0.7500  4 K 3.02
K  0.7150  0.1300  0.0400  2 Cl 3.02-3.25
K  0.3250  0.5400  0.4099  2 Cl 3.02-3.25
K  0.9600  0.3700  0.2850  2 Cl 3.02-3.25
K  0.5400  0.2150  0.1300  2 Cl 3.02-3.25
K  0.5849  0.7150  0.6750  2 Cl 3.02-3.25
K  0.9600  0.5901  0.1750  2 Cl 3.02-3.25
K  0.3250  0.7850  0.4151  2 Cl 3.02-3.25
K  0.0901  0.9151  0.1300  2 Cl 3.02-3.25
K  0.5901  0.9600  0.6750  2 Cl 3.02-3.25
K  0.7150  0.5849  0.1750  2 Cl 3.02-3.25
K  0.7850  0.4600  0.3700  2 Cl 3.02-3.25
K  0.8250  0.9099  0.0400  2 Cl 3.02-3.25
K  0.1300  0.7150  0.5400  2 Cl 3.02-3.25
K  0.3700  0.4099  0.0849  2 Cl 3.02-3.25
K  0.0849  0.9099  0.3700  2 Cl 3.02-3.25
K  0.4151  0.1300  0.5901  2 Cl 3.02-3.25
K  0.0849  0.1750  0.2150  2 Cl 3.02-3.25
K  0.4600  0.6750  0.0901  2 Cl 3.02-3.25
K  0.8250  0.9151  0.2850  2 Cl 3.02-3.25
K  0.1300  0.4151  0.0901  2 Cl 3.02-3.25
K  0.3700  0.9600  0.7850  2 Cl 3.02-3.25
K  0.5901  0.6300  0.4151  2 Cl 3.02-3.25
K  0.9099  0.8250  0.5400  2 Cl 3.02-3.25
K  0.7850  0.3250  0.9151  2 Cl 3.02-3.25
K  0.4099  0.3700  0.5849  2 Cl 3.02-3.25
K  0.0901  0.1750  0.4600  2 Cl 3.02-3.25
K  0.2150  0.6750  0.0849  2 Cl 3.02-3.25
K  0.1750  0.0849  0.7150  2 Cl 3.02-3.25
K  0.6300  0.0400  0.2150  2 Cl 3.02-3.25
K  0.8700  0.5849  0.9099  2 Cl 3.02-3.25
K  0.5400  0.3250  0.9099  2 Cl 3.02-3.25
K  0.5849  0.8700  0.4099  2 Cl 3.02-3.25
K  0.9151  0.8250  0.7850  2 Cl 3.02-3.25
K  0.9151  0.0901  0.6300  2 Cl 3.02-3.25
K  0.8700  0.2850  0.4600  2 Cl 3.02-3.25
K  0.1750  0.0901  0.9600  2 Cl 3.02-3.25
K  0.6300  0.5901  0.9151  2 Cl 3.02-3.25
K  0.4099  0.0400  0.3250  2 Cl 3.02-3.25
K  0.2850  0.4151  0.8250  2 Cl 3.02-3.25
K  0.2150  0.5400  0.6300  2 Cl 3.02-3.25
K  0.9099  0.0849  0.8700  2 Cl 3.02-3.25
K  0.6750  0.2150  0.5849  2 Cl 3.02-3.25
K  0.4600  0.7850  0.8700  2 Cl 3.02-3.25
K  0.0400  0.4099  0.8250  2 Cl 3.02-3.25
K  0.4151  0.2850  0.3250  2 Cl 3.02-3.25
K  0.0400  0.6300  0.7150  2 Cl 3.02-3.25
K  0.6750  0.4600  0.5901  2 Cl 3.02-3.25
K  0.2850  0.8700  0.9600  2 Cl 3.02-3.25

Density functional theory data (PBE) for a relaxed K2Bi2Cl7 crystal.

Properties
Total magnetization in μB per formula unit: 0.168
Formation energy from raw total energies in meV/atom: -1206
Volume in Å³/cell: 452.0
Electronic total energy in eV/atom: -3.286

a b c (Å): 7.3942 7.9149 7.9149
angles (deg): 102.37 91.63 91.63
Last column: nearest neighbours and their distance in Å.
Fractional coordinates of all 11 atoms:
K  0.5000  0.2950  0.7050  6 Cl 3.16-3.27
K  0.5000  0.7050  0.2950  6 Cl 3.16-3.27
Bi  0.0830  0.7275  0.7275  4 Cl 2.63-2.80
Bi  0.9170  0.2725  0.2725  4 Cl 2.63-2.80
Cl  0.2704  0.5847  0.9445  1 Bi 2.63
Cl  0.7296  0.0555  0.4153  1 Bi 2.63
Cl  0.7296  0.4153  0.0555  1 Bi 2.63
Cl  0.2704  0.9445  0.5847  1 Bi 2.63
Cl  0.2319  0.4268  0.4268  1 Bi 2.73
Cl  0.0000  0.0000  0.0000  2 Bi 2.80
Cl  0.7681  0.5732  0.5732  1 Bi 2.73

Density functional theory data (PBE) for a relaxed K2Bi2Cl crystal.

Properties
Total magnetization in μB per formula unit: 0.000
Formation energy from raw total energies in meV/atom: -373
Volume in Å³/cell: 234.0
Electronic total energy in eV/atom: -2.734

a b c (Å): 6.9107 6.9107 6.9203
angles (deg): 60.05 60.05 90.00
Last column: nearest neighbours and their distance in Å.
Fractional coordinates of all 5 atoms:
K  0.7500  0.2500  0.5000  4 Bi 3.62
K  0.2500  0.7500  0.5000  4 Bi 3.62
Bi  0.3585  0.3585  0.2829  1 Bi 2.77
Bi  0.6415  0.6415  0.7171  1 Bi 2.77
Cl  0.0000  0.0000  0.0000  2 Bi 3.51

Among the records above, which one has the highest total magnetization?
K12Bi3Cl5